[1]
# AcPm2SmBi4 | the Alexandria database | PBE | optimized geometry
# DFT formation energy = -721 kJ/mol of formula units
data_AcPm2SmBi4
_cell_length_a 8.058
_cell_length_b 4.655
_cell_length_c 8.059
_cell_angle_alpha 90.00
_cell_angle_beta 109.43
_cell_angle_gamma 90.00
_symmetry_space_group_name_H-M 'P 1 2/m 1'
_symmetry_Int_Tables_number 10
loop_
_symmetry_equiv_pos_as_xyz
'x,y,z'
'-x,-y,-z'
'-x,y,-z'
'x,-y,z'
loop_
_atom_site_label
_atom_site_fract_x
_atom_site_fract_y
_atom_site_fract_z
Ac1 0.000 0.000 0.000
Pm1 0.000 0.500 0.500
Pm2 0.500 0.000 0.500
Sm1 0.500 0.500 0.000
Bi1 0.256 0.000 0.746
Bi2 0.261 0.500 0.261

[2]
# AcTbPmBi | the Alexandria database | PBE | optimized geometry
# DFT formation energy = -70 kJ/mol of formula units
data_AcTbPmBi
_cell_length_a 8.033
_cell_length_b 8.033
_cell_length_c 8.033
_cell_angle_alpha 90.00
_cell_angle_beta 90.00
_cell_angle_gamma 90.00
_symmetry_space_group_name_H-M 'F -4 3 m'
_symmetry_Int_Tables_number 216
_symmetry_space_group_name_Hall 'F -4 2 3'
loop_
_atom_site_label
_atom_site_fract_x
_atom_site_fract_y
_atom_site_fract_z
Ac1 0.000 0.000 0.000
Tb1 0.250 0.250 0.250
Pm1 0.250 0.250 0.750
Bi1 0.000 0.000 0.500

[3]
# Ac2PmBi2Te2 | the Alexandria database | PBE | optimized geometry
# Total DFT energy (no corrections) = -4.658 eV/atom
data_Ac2PmBi2Te2
_cell_length_a 5.967
_cell_length_b 5.967
_cell_length_c 16.625
_cell_angle_alpha 90.00
_cell_angle_beta 90.00
_cell_angle_gamma 90.00
_symmetry_space_group_name_H-M 'I 4/m m m'
_symmetry_Int_Tables_number 139
_symmetry_space_group_name_Hall '-I 4 2'
loop_
_atom_site_label
_atom_site_fract_x
_atom_site_fract_y
_atom_site_fract_z
Ac1 0.000 0.000 0.124
Pm1 0.000 0.000 0.500
Bi1 0.000 0.500 0.000
Te1 0.000 0.000 0.314

[4]
# AcPmBiTe | the Alexandria database | PBE | optimized geometry
# Total DFT energy (no corrections) = -4.996 eV/atom
data_AcPmBiTe
_cell_length_a 8.054
_cell_length_b 8.054
_cell_length_c 8.054
_cell_angle_alpha 90.00
_cell_angle_beta 90.00
_cell_angle_gamma 90.00
_symmetry_space_group_name_H-M 'F -4 3 m'
_symmetry_Int_Tables_number 216
_symmetry_space_group_name_Hall 'F -4 2 3'
loop_
_atom_site_label
_atom_site_fract_x
_atom_site_fract_y
_atom_site_fract_z
Ac1 0.000 0.000 0.000
Pm1 0.000 0.000 0.500
Bi1 0.250 0.250 0.250
Te1 0.250 0.250 0.750